DFT (PBE) results for a relaxed CdFeB3 crystal.

The structure in POSCAR format:
```
CdFeB3
1.0
3.872 0.000 0.000
0.000 3.872 0.000
0.000 0.000 3.872
Cd B Fe
1 3 1
Direct
0.500 0.500 0.500
0.500 0.000 0.000
0.000 0.000 0.500
0.000 0.500 0.000
0.000 0.000 0.000
```

SG	Pm-3m, No. 221
calculated total energy	-25.0	eV for the cell shown
DOS at the Fermi energy	0.29	states/eV per atom



DFT (PBE) results for a relaxed CdFeNi2B crystal.

The structure in POSCAR format:
```
CdFeNi2B
1.0
-0.914 1.176 4.441
3.086 -2.263 1.234
2.861 3.689 -0.389
B Cd Ni Fe
1 1 2 1
Direct
0.000 0.500 0.000
0.000 0.000 0.000
0.500 0.000 0.000
0.000 0.000 0.500
0.500 0.500 0.500
```

SG	P4/mmm, No. 123
calculated total energy	-18.6	eV for the cell shown
DOS at the Fermi energy	1.53	states/eV per atom



DFT (PBE) results for a relaxed CdFeNi2B crystal.

The structure in POSCAR format:
```
CdFeNi2B
1.0
4.653 0.000 0.000
0.000 4.801 0.000
0.000 0.000 4.653
Cd B Ni Fe
1 1 2 1
Direct
0.000 0.000 0.000
0.500 0.500 0.500
0.000 0.000 0.500
0.500 0.000 0.000
0.000 0.500 0.000
```

SG	P4/mmm, No. 123
calculated total energy	-16.2	eV for the cell shown
DOS at the Fermi energy	2.29	states/eV per atom



Number 1: energy relative to the lowest polymorph listed for this composition 0.00 eV/f.u., E_form 0.88 eV per atom. Number 2: energy relative to the lowest polymorph listed for this composition 0.00 eV/f.u., E_form 1.81 eV per atom. Number 3: energy relative to the lowest polymorph listed for this composition 2.41 eV/f.u., E_form 2.29 eV per atom.